The following is a PBE calculation of Rb2SnWI6 after structural relaxation, from Alexandria.

Output
E_form (uncorrected) = -0.49 eV/atom
space-group type = I4/mmm, No. 139

Structure (CIF):
```
data_Rb2SnWI6
_chemical_formula_sum 'Rb2 Sn1 W1 I6'
_cell_length_a 8.546
_cell_length_b 8.546
_cell_length_c 8.546
_cell_angle_alpha 120.13
_cell_angle_beta 120.13
_cell_angle_gamma 89.77
_space_group_name_H-M_alt 'P 1'
_space_group_IT_number 1
loop_
_space_group_symop_operation_xyz
'x,y,z'
loop_
_atom_site_label
_atom_site_type_symbol
_atom_site_fract_x
_atom_site_fract_y
_atom_site_fract_z
Rb1 Rb 0.250 0.750 0.500
Rb2 Rb 0.750 0.250 0.500
Sn1 Sn 0.000 0.000 0.000
W1 W 0.500 0.500 0.000
I1 I 0.264 0.264 0.000
I2 I 0.264 0.264 0.528
I3 I 0.264 0.736 0.000
I4 I 0.736 0.264 0.000
I5 I 0.736 0.736 0.000
I6 I 0.736 0.736 0.472
```

The following is a PBE calculation of Rb2YSnI6 after structural relaxation, from Alexandria.

Output
E_form (uncorrected) = -1.06 eV/atom
space-group type = I4/mmm, No. 139

Structure (CIF):
```
data_Rb2YSnI6
_chemical_formula_sum 'Rb2 Y1 Sn1 I6'
_cell_length_a 9.189
_cell_length_b 9.189
_cell_length_c 9.189
_cell_angle_alpha 123.34
_cell_angle_beta 123.34
_cell_angle_gamma 84.31
_space_group_name_H-M_alt 'P 1'
_space_group_IT_number 1
loop_
_space_group_symop_operation_xyz
'x,y,z'
loop_
_atom_site_label
_atom_site_type_symbol
_atom_site_fract_x
_atom_site_fract_y
_atom_site_fract_z
Rb1 Rb 0.250 0.750 0.500
Rb2 Rb 0.750 0.250 0.500
Y1 Y 0.000 0.000 0.000
Sn1 Sn 0.500 0.500 0.000
I1 I 0.223 0.223 0.000
I2 I 0.245 0.245 0.491
I3 I 0.245 0.755 0.000
I4 I 0.755 0.245 0.000
I5 I 0.755 0.755 0.509
I6 I 0.777 0.777 0.000
```

The following is a PBE calculation of RbYSn2I8 after structural relaxation, from Alexandria.

Output
E_form (uncorrected) = -0.92 eV/atom
space-group type = P-1, No. 2

Structure (CIF):
```
data_RbYSn2I8
_chemical_formula_sum 'Rb1 Y1 Sn2 I8'
_cell_length_a 7.342
_cell_length_b 7.809
_cell_length_c 9.742
_cell_angle_alpha 89.81
_cell_angle_beta 89.82
_cell_angle_gamma 88.69
_space_group_name_H-M_alt 'P 1'
_space_group_IT_number 1
loop_
_space_group_symop_operation_xyz
'x,y,z'
loop_
_atom_site_label
_atom_site_type_symbol
_atom_site_fract_x
_atom_site_fract_y
_atom_site_fract_z
Rb1 Rb 0.000 0.000 0.000
Y1 Y 0.000 0.000 0.500
Sn1 Sn 0.499 0.500 0.251
Sn2 Sn 0.501 0.500 0.749
I1 I 0.237 0.324 0.500
I2 I 0.252 0.843 0.716
I3 I 0.252 0.844 0.284
I4 I 0.271 0.377 0.002
I5 I 0.729 0.623 0.998
I6 I 0.748 0.156 0.716
I7 I 0.748 0.157 0.284
I8 I 0.763 0.676 0.500
```

The following is a PBE calculation of Rb2ZrSnI6 after structural relaxation, from Alexandria.

Output
E_form (uncorrected) = -0.85 eV/atom
space-group type = Fm-3m, No. 225

Structure (CIF):
```
data_Rb2ZrSnI6
_chemical_formula_sum 'Rb2 Zr1 Sn1 I6'
_cell_length_a 8.681
_cell_length_b 8.681
_cell_length_c 8.681
_cell_angle_alpha 60.00
_cell_angle_beta 60.00
_cell_angle_gamma 60.00
_space_group_name_H-M_alt 'P 1'
_space_group_IT_number 1
loop_
_space_group_symop_operation_xyz
'x,y,z'
loop_
_atom_site_label
_atom_site_type_symbol
_atom_site_fract_x
_atom_site_fract_y
_atom_site_fract_z
Rb1 Rb 0.250 0.250 0.250
Rb2 Rb 0.750 0.750 0.750
Zr1 Zr 0.000 0.000 0.000
Sn1 Sn 0.500 0.500 0.500
I1 I 0.241 0.241 0.759
I2 I 0.241 0.759 0.241
I3 I 0.241 0.759 0.759
I4 I 0.759 0.241 0.241
I5 I 0.759 0.241 0.759
I6 I 0.759 0.759 0.241
```

The following is a PBE calculation of Rb2SrI4 after structural relaxation, from Alexandria.

Output
E_form (uncorrected) = -1.58 eV/atom
space-group type = C2/m, No. 12

Structure (CIF):
```
data_Rb2SrI4
_chemical_formula_sum 'Rb2 Sr1 I4'
_cell_length_a 8.425
_cell_length_b 8.425
_cell_length_c 10.182
_cell_angle_alpha 118.30
_cell_angle_beta 118.30
_cell_angle_gamma 33.47
_space_group_name_H-M_alt 'P 1'
_space_group_IT_number 1
loop_
_space_group_symop_operation_xyz
'x,y,z'
loop_
_atom_site_label
_atom_site_type_symbol
_atom_site_fract_x
_atom_site_fract_y
_atom_site_fract_z
Rb1 Rb 0.143 0.143 0.182
Rb2 Rb 0.857 0.857 0.818
Sr1 Sr 0.500 0.500 0.500
I1 I 0.159 0.159 0.573
I2 I 0.447 0.447 0.147
I3 I 0.553 0.553 0.853
I4 I 0.841 0.841 0.427
```

The following is a PBE calculation of RbSrI after structural relaxation, from Alexandria.

Output
E_form (uncorrected) = -0.79 eV/atom
space-group type = P3m1, No. 156

Structure (CIF):
```
data_RbSrI
_chemical_formula_sum 'Rb1 Sr1 I1'
_cell_length_a 4.581
_cell_length_b 4.581
_cell_length_c 8.776
_cell_angle_alpha 90.00
_cell_angle_beta 90.00
_cell_angle_gamma 120.00
_space_group_name_H-M_alt 'P 1'
_space_group_IT_number 1
loop_
_space_group_symop_operation_xyz
'x,y,z'
loop_
_atom_site_label
_atom_site_type_symbol
_atom_site_fract_x
_atom_site_fract_y
_atom_site_fract_z
Rb1 Rb 0.000 0.000 0.000
Sr1 Sr 0.333 0.667 0.573
I1 I 0.667 0.333 0.307
```

The following is a PBE calculation of Rb3SrI6 after structural relaxation, from Alexandria.

Output
E_form (uncorrected) = -1.34 eV/atom
space-group type = Cmc2_1, No. 36

Structure (CIF):
```
data_Rb3SrI6
_chemical_formula_sum 'Rb6 Sr2 I12'
_cell_length_a 13.821
_cell_length_b 13.821
_cell_length_c 6.483
_cell_angle_alpha 90.00
_cell_angle_beta 90.00
_cell_angle_gamma 116.44
_space_group_name_H-M_alt 'P 1'
_space_group_IT_number 1
loop_
_space_group_symop_operation_xyz
'x,y,z'
loop_
_atom_site_label
_atom_site_type_symbol
_atom_site_fract_x
_atom_site_fract_y
_atom_site_fract_z
Rb1 Rb 0.119 0.881 0.500
Rb2 Rb 0.254 0.425 0.534
Rb3 Rb 0.425 0.254 0.034
Rb4 Rb 0.575 0.746 0.534
Rb5 Rb 0.746 0.575 0.034
Rb6 Rb 0.881 0.119 0.000
Sr1 Sr 0.277 0.723 0.042
Sr2 Sr 0.723 0.277 0.542
I1 I 0.030 0.659 0.064
I2 I 0.158 0.161 0.274
I3 I 0.161 0.158 0.774
I4 I 0.292 0.708 0.544
I5 I 0.341 0.970 0.064
I6 I 0.420 0.580 0.041
I7 I 0.580 0.420 0.541
I8 I 0.659 0.030 0.564
I9 I 0.708 0.292 0.044
I10 I 0.839 0.842 0.274
I11 I 0.842 0.839 0.774
I12 I 0.970 0.341 0.564
```

The following is a PBE calculation of RbSr2I after structural relaxation, from Alexandria.

Output
E_form (uncorrected) = -0.22 eV/atom
space-group type = I-42d, No. 122

Structure (CIF):
```
data_RbSr2I
_chemical_formula_sum 'Rb2 Sr4 I2'
_cell_length_a 12.303
_cell_length_b 12.303
_cell_length_c 12.303
_cell_angle_alpha 143.75
_cell_angle_beta 143.75
_cell_angle_gamma 52.20
_space_group_name_H-M_alt 'P 1'
_space_group_IT_number 1
loop_
_space_group_symop_operation_xyz
'x,y,z'
loop_
_atom_site_label
_atom_site_type_symbol
_atom_site_fract_x
_atom_site_fract_y
_atom_site_fract_z
Rb1 Rb 0.000 0.000 0.000
Rb2 Rb 0.750 0.250 0.500
Sr1 Sr 0.298 0.625 0.173
Sr2 Sr 0.375 0.548 0.673
Sr3 Sr 0.452 0.125 0.827
Sr4 Sr 0.875 0.702 0.327
I1 I 0.250 0.750 0.500
I2 I 0.500 0.500 0.000
```

The following is a PBE calculation of RbSrI2 after structural relaxation, from Alexandria.

Output
E_form (uncorrected) = -1.24 eV/atom
space-group type = R3m, No. 160

Structure (CIF):
```
data_RbSrI2
_chemical_formula_sum 'Rb1 Sr1 I2'
_cell_length_a 11.729
_cell_length_b 11.729
_cell_length_c 11.729
_cell_angle_alpha 23.57
_cell_angle_beta 23.57
_cell_angle_gamma 23.57
_space_group_name_H-M_alt 'P 1'
_space_group_IT_number 1
loop_
_space_group_symop_operation_xyz
'x,y,z'
loop_
_atom_site_label
_atom_site_type_symbol
_atom_site_fract_x
_atom_site_fract_y
_atom_site_fract_z
Rb1 Rb 0.000 0.000 0.000
Sr1 Sr 0.170 0.170 0.170
I1 I 0.557 0.557 0.557
I2 I 0.782 0.782 0.782
```

The following is a PBE calculation of RbSr3I after structural relaxation, from Alexandria.

Output
E_form (uncorrected) = 0.47 eV/atom
space-group type = Pm-3m, No. 221

Structure (CIF):
```
data_RbSr3I
_chemical_formula_sum 'Rb1 Sr3 I1'
_cell_length_a 7.627
_cell_length_b 7.627
_cell_length_c 7.627
_cell_angle_alpha 90.00
_cell_angle_beta 90.00
_cell_angle_gamma 90.00
_space_group_name_H-M_alt 'P 1'
_space_group_IT_number 1
loop_
_space_group_symop_operation_xyz
'x,y,z'
loop_
_atom_site_label
_atom_site_type_symbol
_atom_site_fract_x
_atom_site_fract_y
_atom_site_fract_z
Rb1 Rb 0.000 0.000 0.000
Sr1 Sr 0.000 0.000 0.500
Sr2 Sr 0.000 0.500 0.000
Sr3 Sr 0.500 0.000 0.000
I1 I 0.500 0.500 0.500
```

The following is a PBE calculation of RbSrI2 after structural relaxation, from Alexandria.

Output
E_form (uncorrected) = -1.09 eV/atom
space-group type = Fm-3m, No. 225

Structure (CIF):
```
data_RbSrI2
_chemical_formula_sum 'Rb1 Sr1 I2'
_cell_length_a 6.168
_cell_length_b 6.168
_cell_length_c 6.168
_cell_angle_alpha 60.00
_cell_angle_beta 60.00
_cell_angle_gamma 60.00
_space_group_name_H-M_alt 'P 1'
_space_group_IT_number 1
loop_
_space_group_symop_operation_xyz
'x,y,z'
loop_
_atom_site_label
_atom_site_type_symbol
_atom_site_fract_x
_atom_site_fract_y
_atom_site_fract_z
Rb1 Rb 0.000 0.000 0.000
Sr1 Sr 0.500 0.500 0.500
I1 I 0.250 0.250 0.250
I2 I 0.750 0.750 0.750
```

The following is a PBE calculation of RbSrI after structural relaxation, from Alexandria.

Output
E_form (uncorrected) = -0.79 eV/atom
space-group type = Amm2, No. 38

Structure (CIF):
```
data_RbSrI
_chemical_formula_sum 'Rb2 Sr2 I2'
_cell_length_a 17.828
_cell_length_b 4.549
_cell_length_c 4.549
_cell_angle_alpha 60.04
_cell_angle_beta 90.00
_cell_angle_gamma 90.00
_space_group_name_H-M_alt 'P 1'
_space_group_IT_number 1
loop_
_space_group_symop_operation_xyz
'x,y,z'
loop_
_atom_site_label
_atom_site_type_symbol
_atom_site_fract_x
_atom_site_fract_y
_atom_site_fract_z
Rb1 Rb 0.217 0.000 0.000
Rb2 Rb 0.783 0.000 0.000
Sr1 Sr 0.000 0.338 0.338
Sr2 Sr 0.500 0.997 0.997
I1 I 0.378 0.331 0.331
I2 I 0.622 0.331 0.331
```

Number 1: N(E_F) 2.44 states/eV/f.u.. Number 2: N(E_F) 0.03 states/eV/f.u.. Number 3: N(E_F) 0.00 states/eV/f.u.. Number 4: N(E_F) 8.13 states/eV/f.u.. Number 5: N(E_F) 0.00 states/eV/f.u.. Number 6: N(E_F) 1.79 states/eV/f.u.. Number 7: N(E_F) 1.48 states/eV/f.u.. Number 8: N(E_F) 3.17 states/eV/f.u.. Number 9: N(E_F) 1.51 states/eV/f.u.. Number 10: N(E_F) 1.78 states/eV/f.u.. Number 11: N(E_F) 2.87 states/eV/f.u.. Number 12: N(E_F) 2.33 states/eV/f.u..